# 1
The following is a DFT calculation (PBE-GGA) of Hg2AsPb3 after structural relaxation.

a = 6.8149 Å, b = 6.8149 Å, c = 8.1577 Å
α = 95.75°, β = 95.75°, γ = 108.62°
Positions (direct):
1 Hg 0.0000 0.0000 0.0000
2 Hg 0.1402 0.8598 0.5000
3 Hg 0.5000 0.5000 0.5000
4 Hg 0.8598 0.1402 0.5000
5 As 0.3029 0.6971 0.0000
6 As 0.6971 0.3029 0.0000
7 Pb 0.0987 0.4371 0.2433
8 Pb 0.3076 0.3076 0.8020
9 Pb 0.4371 0.0987 0.2433
10 Pb 0.5629 0.9013 0.7567
11 Pb 0.6924 0.6924 0.1980
12 Pb 0.9013 0.5629 0.7567

Summary:
For the density of states at the Fermi level, the calculation gives 0.39 states/eV/atom. Its calculated density is 10.3 g cm⁻³. Its crystal system is monoclinic. Its space-group type is C2/m, No. 12. The formation energy from the elements comes out at 0.2 eV/f.u.



# 2
The following is a DFT calculation (PBE-GGA) of PdAuOF2 after structural relaxation.

a = 4.3547 Å, b = 4.3547 Å, c = 4.0573 Å
α = 90.00°, β = 90.00°, γ = 90.00°
Positions (direct):
1 Pd 0.0000 0.0000 0.0000
2 Au 0.5000 0.5000 0.5000
3 O 0.5000 0.5000 0.0000
4 F 0.0000 0.5000 0.5000
5 F 0.5000 0.0000 0.5000

Summary:
For the density of states at the Fermi level, the calculation gives 1.05 states/eV/atom. For the energy above the most stable polymorph in this dataset, the calculation gives 0.3039 eV/atom. Its calculated density is 7.7 g cm⁻³. The calculation puts the energy relative to the elements, uncorrected at -0.016 eV/atom. Its crystal system is tetragonal. Its space-group type is P4/mmm, No. 123.



# 3
The following is a DFT calculation (PBE-GGA) of FeTeIN2 after structural relaxation.

a = 3.9878 Å, b = 3.9878 Å, c = 5.5529 Å
α = 90.00°, β = 90.00°, γ = 90.00°
Positions (direct):
1 Fe 0.0000 0.0000 0.0000
2 Te 0.0000 0.0000 0.5000
3 I 0.5000 0.5000 0.5000
4 N 0.0000 0.5000 0.0000
5 N 0.5000 0.0000 0.0000

Summary:
For the density of states at the Fermi level, the calculation gives 0.81 states/eV/atom. For the energy above the most stable polymorph in this dataset, the calculation gives 0.0000 eV/atom. Its calculated density is 6.4 g cm⁻³. The calculation puts the energy relative to the elements, uncorrected at 1.297 eV/atom. Its crystal system is tetragonal. Its space-group type is P4/mmm, No. 123.



# 4
The following is a DFT calculation (PBE-GGA) of MgAsPdSe2 after structural relaxation.

a = 5.1862 Å, b = 5.1862 Å, c = 4.6095 Å
α = 90.00°, β = 90.00°, γ = 90.00°
Positions (direct):
1 Mg 0.0000 0.0000 0.0000
2 As 0.5000 0.5000 0.0000
3 Pd 0.5000 0.5000 0.5000
4 Se 0.0000 0.5000 0.5000
5 Se 0.5000 0.0000 0.5000

Summary:
For the density of states at the Fermi level, the calculation gives 0.71 states/eV/atom. For the energy above the most stable polymorph in this dataset, the calculation gives 0.0000 eV/atom. Its calculated density is 4.9 g cm⁻³. The calculation puts the energy relative to the elements, uncorrected at 0.159 eV/atom. Its crystal system is tetragonal. Its space-group type is P4/mmm, No. 123.



# 5
The following is a DFT calculation (PBE-GGA) of In7Ru6 after structural relaxation.

a = 9.7691 Å, b = 9.7691 Å, c = 9.7691 Å
α = 33.14°, β = 33.14°, γ = 33.14°
Positions (direct):
1 In 0.0000 0.0000 0.0000
2 In 0.0832 0.0832 0.5749
3 In 0.0832 0.5749 0.0832
4 In 0.4251 0.9168 0.9168
5 In 0.5749 0.0832 0.0832
6 In 0.9168 0.4251 0.9168
7 In 0.9168 0.9168 0.4251
8 Ru 0.1651 0.1651 0.1651
9 Ru 0.3325 0.3325 0.3325
10 Ru 0.4562 0.4562 0.4562
11 Ru 0.5438 0.5438 0.5438
12 Ru 0.6675 0.6675 0.6675
13 Ru 0.8349 0.8349 0.8349

Summary:
For the density of states at the Fermi level, the calculation gives 1.37 states/eV/atom. Its calculated density is 9.4 g cm⁻³. Its crystal system is trigonal. Its space-group type is R-3m, No. 166. The formation energy from the elements comes out at 9.3 eV/f.u.



# 6
The following is a DFT calculation (PBE-GGA) of Pm2Y4Mg after structural relaxation.

a = 6.4035 Å, b = 12.2051 Å, c = 6.5361 Å
α = 90.00°, β = 115.45°, γ = 90.00°
Positions (direct):
1 Pm 0.2176 0.0601 0.4390
2 Pm 0.2176 0.4399 0.9390
3 Pm 0.7824 0.5601 0.0610
4 Pm 0.7824 0.9399 0.5610
5 Y 0.0787 0.1647 0.8747
6 Y 0.0787 0.3353 0.3747
7 Y 0.4112 0.7258 0.1679
8 Y 0.4112 0.7742 0.6679
9 Y 0.5888 0.2258 0.3321
10 Y 0.5888 0.2742 0.8321
11 Y 0.9213 0.6647 0.6253
12 Y 0.9213 0.8353 0.1253
13 Mg 0.5000 0.0000 0.0000
14 Mg 0.5000 0.5000 0.5000

Summary:
For the density of states at the Fermi level, the calculation gives 1.40 states/eV/atom. For the energy above the most stable polymorph in this dataset, the calculation gives 0.0681 eV/atom. Its calculated density is 4.8 g cm⁻³. Its crystal system is monoclinic. Its space-group type is P2_1/c, No. 14. The formation energy from the elements comes out at 1.1 eV/f.u.



Q: Look up the calculated density of the third one.
A: 6.4 g cm⁻³



Q: calculated density of number 1 (Hg2AsPb3)?
A: 10.3 g cm⁻³



Q: Number 5 is which compound?
A: In7Ru6